A relaxed ScP2Pd crystal. Source: Alexandria via LeMat-Bulk, functional PBE-GGA.

Values from the calculation:
polymorph energy (0 for the lowest one) = 0 meV/atom
calculated formation energy = -534 meV/atom

CIF file:
```
data_ScP2Pd
_chemical_formula_sum 'Sc4 P8 Pd4'
_cell_length_a 4.2903
_cell_length_b 4.2903
_cell_length_c 15.8944
_cell_angle_alpha 90.00
_cell_angle_beta 90.00
_cell_angle_gamma 90.00
_symmetry_space_group_name_H-M 'I -4 2 d'
_symmetry_Int_Tables_number 122
_symmetry_space_group_name_Hall 'I -4 2bw'
loop_
_atom_site_label
_atom_site_type_symbol
_atom_site_fract_x
_atom_site_fract_y
_atom_site_fract_z
Sc1 Sc 0.0000 0.0000 0.0000
P1 P 0.1838 0.2500 0.6250
Pd1 Pd 0.0000 0.0000 0.5000
```



A relaxed NaCuClF2 crystal. Source: Alexandria via LeMat-Bulk, functional PBE-GGA.

Values from the calculation:
polymorph energy (0 for the lowest one) = 0 meV/atom
energy relative to the elements, uncorrected = -1.6689 eV/atom

CIF file:
```
data_NaCuClF2
_chemical_formula_sum 'Na4 Cu4 Cl4 F8'
_cell_length_a 5.6451
_cell_length_b 5.6451
_cell_length_c 9.8465
_cell_angle_alpha 90.00
_cell_angle_beta 90.00
_cell_angle_gamma 90.00
_symmetry_space_group_name_H-M 'I 4 c m'
_symmetry_Int_Tables_number 108
_symmetry_space_group_name_Hall 'I 4 -2c'
loop_
_atom_site_label
_atom_site_type_symbol
_atom_site_fract_x
_atom_site_fract_y
_atom_site_fract_z
Na1 Na 0.0000 0.5000 0.0000
Cu1 Cu 0.0000 0.0000 0.1588
Cl1 Cl 0.0000 0.0000 0.4015
F1 F 0.2490 0.2510 0.1426
```



A relaxed Li4Eu2H crystal. Source: Alexandria via LeMat-Bulk, functional PBE-GGA.

Values from the calculation:
E = -63.3 eV per cell

CIF file:
```
data_Li4Eu2H
_chemical_formula_sum 'Li8 Eu4 H2'
_cell_length_a 3.9431
_cell_length_b 3.9431
_cell_length_c 21.2867
_cell_angle_alpha 90.00
_cell_angle_beta 90.00
_cell_angle_gamma 90.00
_symmetry_space_group_name_H-M 'I 4/m m m'
_symmetry_Int_Tables_number 139
_symmetry_space_group_name_Hall '-I 4 2'
loop_
_atom_site_label
_atom_site_type_symbol
_atom_site_fract_x
_atom_site_fract_y
_atom_site_fract_z
Li1 Li 0.0000 0.0000 0.0919
Li2 Li 0.0000 0.5000 0.0000
Eu1 Eu 0.0000 0.0000 0.3121
H1 H 0.0000 0.0000 0.0000
```



A relaxed PrNd2Tm3As6 crystal. Source: Alexandria via LeMat-Bulk, functional PBE-GGA.

Values from the calculation:
calculated formation energy = -1495 meV/atom

CIF file:
```
data_PrNd2Tm3As6
_chemical_formula_sum 'Pr2 Nd4 Tm6 As12'
_cell_length_a 18.1872
_cell_length_b 4.1791
_cell_length_c 8.3429
_cell_angle_alpha 90.00
_cell_angle_beta 103.13
_cell_angle_gamma 90.00
_symmetry_space_group_name_H-M 'C 1 2/m 1'
_symmetry_Int_Tables_number 12
loop_
_symmetry_equiv_pos_as_xyz
'x,y,z'
'-x,-y,-z'
'-x,y,-z'
'x,-y,z'
'x+1/2,y+1/2,z'
'-x+1/2,-y+1/2,-z'
'-x+1/2,y+1/2,-z'
'x+1/2,-y+1/2,z'
loop_
_atom_site_label
_atom_site_type_symbol
_atom_site_fract_x
_atom_site_fract_y
_atom_site_fract_z
Pr1 Pr 0.0000 0.0000 0.0000
Nd1 Nd 0.1669 0.5000 0.3334
Tm1 Tm 0.0000 0.0000 0.5000
Tm2 Tm 0.1666 0.5000 0.8330
As1 As 0.0028 0.5000 0.7413
As2 As 0.1638 0.0000 0.5903
As3 As 0.1701 0.0000 0.0763
```



Number 1: N(E_F) 0.649 states/eV per atom. Number 2: N(E_F) 0.423 states/eV per atom. Number 3: N(E_F) 1.711 states/eV per atom. Number 4: N(E_F) 0.156 states/eV per atom.